Ca2LaY: single point on PBEsol structure, SCAN.

The structure in CIF format:
```
data_Ca2LaY
_cell_length_a 3.630
_cell_length_b 5.255
_cell_length_c 7.510
_cell_angle_alpha 90.00
_cell_angle_beta 90.00
_cell_angle_gamma 90.00
_symmetry_space_group_name_H-M 'P m m 2'
_symmetry_Int_Tables_number 25
loop_
_symmetry_equiv_pos_as_xyz
'x,y,z'
'-x,-y,z'
'-x,y,z'
'x,-y,z'
loop_
_atom_site_label
_atom_site_fract_x
_atom_site_fract_y
_atom_site_fract_z
Ca1 0.000 0.000 0.000
Ca2 0.500 0.500 0.265
La1 0.000 0.000 0.530
Y1 0.500 0.500 0.745
```

Computed properties:
Energy of formation from the pure elements: 113 meV per atom